1.
Density functional theory data (PBE) for an optimized crystal structure of Tl3SbPd.

The structure in extended XYZ format:
```
5
Lattice="5.3610 0.0000 0.0000 0.0000 5.3610 0.0000 0.0000 0.0000 5.3610" Properties=species:S:1:pos:R:3 pbc="T T T"
Sb 2.6805 2.6805 2.6805
Tl 2.6805 0.0000 0.0000
Tl 0.0000 2.6805 0.0000
Tl 0.0000 0.0000 2.6805
Pd 0.0000 0.0000 0.0000
```

Properties
E_form (uncorrected): 0.099 eV per atom
size of the total moment: 0.0 μB per formula unit
density of states at the Fermi level: 1.138 states/eV per atom
crystal system: cubic
offset from the most stable computed form: 0 meV per atom


2.
Density functional theory data (PBE) for an optimized crystal structure of Pm4Tm3Si4.

The structure in extended XYZ format:
```
11
Lattice="-2.2401 0.3269 -2.6968 -1.9358 -8.6098 0.5642 -4.4051 5.9693 6.6814" Properties=species:S:1:pos:R:3 pbc="T T T"
Pm -4.6075 -5.0368 0.9181
Pm -3.9735 2.7233 3.6308
Pm -4.6522 -0.2951 3.8286
Pm -3.9288 -2.0185 0.7203
Tm -7.3956 -2.6473 3.5237
Tm -1.1854 0.3337 1.0251
Tm -0.9679 -4.3049 0.2821
Si -1.5523 -1.7589 -1.2224
Si -2.6236 -6.5239 -0.9101
Si -3.9841 0.9697 1.1284
Si -4.5970 -3.2833 3.4205
```

Properties
E_form (uncorrected): -0.488 eV per atom
size of the total moment: 0.0 μB per formula unit
density of states at the Fermi level: 0.746 states/eV per atom
crystal system: orthorhombic


3.
Density functional theory data (PBE) for an optimized crystal structure of Zr2Zn16Cd.

The structure in extended XYZ format:
```
19
Lattice="-0.6502 2.4500 6.2243 -3.3074 -5.2420 2.5980 5.3399 -3.0973 2.6571" Properties=species:S:1:pos:R:3 pbc="T T T"
Cd 1.2441 -5.3010 10.3326
Zn 2.8443 -5.9755 6.3685
Zn -1.3012 -2.1364 8.8372
Zn 3.0545 -3.5766 5.3483
Zn 2.6141 -1.5355 1.3414
Zn -1.6107 -2.5833 1.3126
Zn -0.3125 1.1748 3.0843
Zn 0.1781 -0.9128 7.0612
Zn -2.1150 -4.4923 7.7266
Zn -1.0978 -4.6064 5.3199
Zn 1.1961 -4.9444 4.4235
Zn 2.4557 -1.2983 6.1425
Zn 2.0348 -1.3090 8.8600
Zn 3.8694 -3.0080 7.7675
Zn -1.6433 -2.3149 6.1144
Zn 0.1508 -0.6423 1.2520
Zn 0.1958 -6.6323 6.3504
Zr 0.9081 -3.8691 7.5416
Zr 0.4660 -1.9855 3.8702
```

Properties
size of the total moment: 0.0 μB per formula unit
formation energy from the elements: -0.115 eV per atom
density of states at the Fermi level: 0.314 states/eV per atom
crystal system: trigonal


4.
Density functional theory data (PBE) for an optimized crystal structure of Be3GaN.

The structure in extended XYZ format:
```
5
Lattice="-2.4598 1.8154 2.8846 -0.6184 -3.7360 1.8240 3.3517 0.6431 2.4535" Properties=species:S:1:pos:R:3 pbc="T T T"
Ga 0.0000 0.0000 0.0000
Be -1.2299 0.9077 1.4423
Be -0.3092 -1.8680 0.9120
Be 1.6759 0.3215 1.2267
N 0.1368 -0.6388 3.5810
```

Properties
E_form (uncorrected): 1.651 eV per atom
size of the total moment: 2.0 μB per formula unit
density of states at the Fermi level: 0.218 states/eV per atom
crystal system: cubic
offset from the most stable computed form: 1630 meV per atom


5.
Density functional theory data (PBE) for an optimized crystal structure of NdYCuAg.

The structure in extended XYZ format:
```
4
Lattice="-2.6528 2.2078 1.0103 -2.3901 -2.6380 -0.5110 0.8723 -2.1396 6.9663" Properties=species:S:1:pos:R:3 pbc="T T T"
Nd -2.4166 -0.4724 1.0874
Ag 0.7333 -1.7986 5.8561
Cu 0.3257 -0.7989 2.6012
Y -2.0036 -1.4854 4.3855
```

Properties
size of the total moment: 0.0 μB per formula unit
formation energy from the elements: -0.242 eV per atom
density of states at the Fermi level: 0.588 states/eV per atom
crystal system: tetragonal
offset from the most stable computed form: 0 meV per atom


6.
Density functional theory data (PBE) for an optimized crystal structure of BaLaBi2.

The structure in extended XYZ format:
```
8
Lattice="9.0441 0.0000 0.0000 0.0000 9.0441 0.0000 4.5220 4.5220 3.9168" Properties=species:S:1:pos:R:3 pbc="T T T"
Bi 6.7831 6.6274 2.9376
Bi 6.9387 2.2610 0.9792
Bi 2.1054 6.7831 0.9792
Bi 11.3051 11.4607 2.9376
La 9.0441 4.5220 1.9584
La 0.0000 0.0000 0.0000
Ba 4.5220 4.5220 0.0000
Ba 4.5220 9.0441 1.9584
```

Properties
size of the total moment: 0.0 μB per formula unit
formation energy from the elements: -0.702 eV per atom
density of states at the Fermi level: 0.426 states/eV per atom
crystal system: tetragonal
offset from the most stable computed form: 156 meV per atom


7.
Density functional theory data (PBE) for an optimized crystal structure of Sr2ZnPPt6.

The structure in extended XYZ format:
```
10
Lattice="5.9057 0.0239 -0.0288 -0.0360 7.5418 -1.1310 2.9630 2.9699 4.1697" Properties=species:S:1:pos:R:3 pbc="T T T"
Pt 1.3265 5.3873 -0.5675
Pt 7.5062 5.1484 3.5775
Pt 2.9476 3.7846 1.6908
Pt 4.5299 5.4002 -0.5821
Pt 5.8851 6.7511 1.3192
Pt 4.3028 5.1355 3.5921
P 2.9348 3.7829 -0.5799
Sr 5.9074 2.7287 2.2428
Sr 2.9253 7.8070 0.7671
Zn 0.0000 0.0000 0.0000
```

Properties
size of the total moment: 0.0 μB per formula unit
formation energy from the elements: -0.702 eV per atom
density of states at the Fermi level: 0.139 states/eV per atom
crystal system: monoclinic


8.
Density functional theory data (PBE) for an optimized crystal structure of AcPuSi.

The structure in extended XYZ format:
```
3
Lattice="3.8928 0.0000 0.0000 -1.9464 3.3713 0.0000 0.0000 0.0000 7.1825" Properties=species:S:1:pos:R:3 pbc="T T T"
Pu 0.0000 2.2475 4.3050
Ac 0.0000 0.0000 0.3525
Si 1.9464 1.1238 2.5250
```

Properties
E_form (uncorrected): 0.042 eV per atom
size of the total moment: 6.1 μB per formula unit
density of states at the Fermi level: 3.081 states/eV per atom
crystal system: trigonal
offset from the most stable computed form: 428 meV per atom


9.
Density functional theory data (PBE) for an optimized crystal structure of CrCoGePdS.

The structure in extended XYZ format:
```
10
Lattice="5.5522 0.0000 -0.0023 0.0000 2.8633 0.0000 -0.6822 0.0000 8.7958" Properties=species:S:1:pos:R:3 pbc="T T T"
Co 3.8382 1.4316 2.3220
Co 3.4971 0.0000 6.7199
Ge 2.5605 1.4316 8.4426
Ge 2.9016 0.0000 4.0447
Cr 1.6722 1.4316 5.8072
Cr 2.0133 0.0000 1.4093
Pd 0.1457 0.0000 3.9060
Pd -0.1953 1.4316 8.3039
S 0.0447 0.0000 6.2396
S 0.3858 1.4316 1.8417
```

Properties
E_form (uncorrected): -0.126 eV per atom
size of the total moment: 0.3 μB per formula unit
density of states at the Fermi level: 0.763 states/eV per atom
crystal system: monoclinic
offset from the most stable computed form: 170 meV per atom


10.
Density functional theory data (PBE) for an optimized crystal structure of Ta2SnPbF.

The structure in extended XYZ format:
```
5
Lattice="5.3496 0.0000 0.0000 0.0000 5.9555 0.0000 0.0000 0.0000 5.3496" Properties=species:S:1:pos:R:3 pbc="T T T"
Ta 2.6748 0.0000 0.0000
Ta 0.0000 0.0000 2.6748
Pb 0.0000 0.0000 0.0000
F 2.6748 2.9778 2.6748
Sn 0.0000 2.9778 0.0000
```

Properties
E_form (uncorrected): 1.923 eV per atom
size of the total moment: 5.2 μB per formula unit
density of states at the Fermi level: 1.138 states/eV per atom
crystal system: tetragonal


11.
Density functional theory data (PBE) for an optimized crystal structure of NiHg2Ir2S6.

The structure in extended XYZ format:
```
11
Lattice="-1.6818 -5.7206 1.1694 4.2979 2.5825 3.4322 -6.1419 3.7766 2.3728" Properties=species:S:1:pos:R:3 pbc="T T T"
S -2.4922 3.1493 3.0966
S -4.4800 0.3891 2.3444
S 0.9542 0.2494 4.6301
S -1.0336 -2.5108 3.8779
S -2.1161 0.1419 5.0715
S -1.4097 0.4966 1.9029
Ir -0.7572 1.7157 3.8678
Ir -2.7686 -1.0772 3.1067
Hg -0.5892 -4.2035 1.5829
Hg 3.2053 1.0654 3.0188
Ni -3.0710 1.8883 1.1864
```

Properties
E_form (uncorrected): -0.218 eV per atom
size of the total moment: 0.0 μB per formula unit
density of states at the Fermi level: 0.409 states/eV per atom
crystal system: monoclinic


12.
Density functional theory data (PBE) for an optimized crystal structure of TbTmZnCu.

The structure in extended XYZ format:
```
4
Lattice="3.4960 0.0000 0.0000 0.0000 3.4960 0.0000 0.0000 0.0000 7.0252" Properties=species:S:1:pos:R:3 pbc="T T T"
Tb 0.0000 0.0000 5.9794
Tm 0.0000 0.0000 2.5637
Cu 1.7480 1.7480 4.1937
Zn 1.7480 1.7480 0.8075
```

Properties
size of the total moment: 0.0 μB per formula unit
formation energy from the elements: -0.302 eV per atom
density of states at the Fermi level: 0.698 states/eV per atom
crystal system: tetragonal
offset from the most stable computed form: 0 meV per atom